Here is crystalline La3PmDy at its relaxed geometry from Alexandria. Energies are from PBE.

abc: 6.0524 9.8326 12.0877
angles: 90.00 90.00 90.00
Space group Cmcm (No. 63)
Unique sites:
La (0.0000, 0.0519, 0.2500) [4 per cell]
La (0.0000, 0.3533, 0.0986) [8 per cell]
Pm (0.0000, 0.0000, 0.0000) [4 per cell]
Dy (0.0000, 0.2968, 0.7500) [4 per cell]

## Properties
- DOS(E_F): 1.4968 states/eV per atom
- Formation energy from the elements: 0.95 eV per formula unit
- Calculated total energy: -4.6378 eV/atom
- Total magnetic moment: 0.000 Bohr magnetons per cell

Here is crystalline La4Pm7Dy at its relaxed geometry from Alexandria. Energies are from PBE.

abc: 6.4081 7.3909 9.1865
angles: 90.03 103.51 90.01
Space group P-1 (No. 2)
Unique sites:
La (0.2223, 0.2525, 0.1703) [2 per cell]
La (0.2755, 0.9999, 0.8317) [2 per cell]
Pm (0.0008, 0.7477, 0.4991) [2 per cell]
Pm (0.2251, 0.7465, 0.1729) [2 per cell]
Pm (0.2786, 0.5001, 0.8292) [2 per cell]
Pm (0.5000, 0.0000, 0.5000) [1 per cell]
Dy (0.5000, 0.5000, 0.5000) [1 per cell]

## Properties
- DOS(E_F): 1.3777 states/eV per atom
- Formation energy from the elements: 0.24 eV per formula unit
- Calculated total energy: -4.7769 eV/atom
- Total magnetic moment: 0.000 Bohr magnetons per cell

Here is crystalline LaPm5Dy2 at its relaxed geometry from Alexandria. Energies are from PBE.

abc: 7.2788 14.5641 5.1280
angles: 90.00 90.00 90.00
Space group Pbam (No. 55)
Unique sites:
La (0.0000, 0.0000, 0.0000) [2 per cell]
Pm (0.0000, 0.5000, 0.0000) [2 per cell]
Pm (0.0013, 0.2513, 0.0000) [4 per cell]
Pm (0.2487, 0.6258, 0.5000) [4 per cell]
Dy (0.2495, 0.8743, 0.5000) [4 per cell]

## Properties
- DOS(E_F): 1.4677 states/eV per atom
- Formation energy from the elements: 0.13 eV per formula unit
- Calculated total energy: -4.7196 eV/atom
- Total magnetic moment: 0.000 Bohr magnetons per cell

Here is crystalline LaPm12Dy3 at its relaxed geometry from Alexandria. Energies are from PBE.

abc: 5.1425 5.1425 20.5730
angles: 90.00 90.00 90.00
Space group P4/mmm (No. 123)
Unique sites:
La (0.0000, 0.0000, 0.0000) [1 per cell]
Pm (0.0000, 0.5000, 0.1279) [4 per cell]
Pm (0.0000, 0.5000, 0.3760) [4 per cell]
Pm (0.5000, 0.5000, 0.0000) [1 per cell]
Pm (0.5000, 0.5000, 0.2528) [2 per cell]
Pm (0.5000, 0.5000, 0.5000) [1 per cell]
Dy (0.0000, 0.0000, 0.2517) [2 per cell]
Dy (0.0000, 0.0000, 0.5000) [1 per cell]

## Properties
- DOS(E_F): 1.5307 states/eV per atom
- Formation energy from the elements: 0.26 eV per formula unit
- Calculated total energy: -4.7178 eV/atom
- Total magnetic moment: 0.000 Bohr magnetons per cell

Here is crystalline La4Pm8Dy at its relaxed geometry from Alexandria. Energies are from PBE.

abc: 6.6480 6.6707 11.9081
angles: 100.73 100.51 109.73
Space group P-1 (No. 2)
Unique sites:
La (0.0000, 0.0000, 0.0000) [1 per cell]
La (0.0000, 0.5000, 0.5000) [1 per cell]
La (0.5000, 0.0000, 0.5000) [1 per cell]
La (0.5000, 0.5000, 0.0000) [1 per cell]
Pm (0.0789, 0.1064, 0.6784) [2 per cell]
Pm (0.1835, 0.6851, 0.7969) [2 per cell]
Pm (0.3819, 0.8808, 0.2041) [2 per cell]
Pm (0.3961, 0.4203, 0.3221) [2 per cell]
Dy (0.0000, 0.5000, 0.0000) [1 per cell]

## Properties
- DOS(E_F): 1.4093 states/eV per atom
- Formation energy from the elements: 2.41 eV per formula unit
- Calculated total energy: -4.6082 eV/atom
- Total magnetic moment: 0.000 Bohr magnetons per cell

Here is crystalline La3Pm8Dy4 at its relaxed geometry from Alexandria. Energies are from PBE.

abc: 14.0521 12.2763 6.9408
angles: 90.00 119.17 90.00
Space group C2/m (No. 12)
Unique sites:
La (0.0000, 0.0000, 0.0000) [2 per cell]
La (0.2500, 0.2500, 0.0000) [4 per cell]
Pm (0.0000, 0.2062, 0.5000) [4 per cell]
Pm (0.0000, 0.2518, 0.0000) [4 per cell]
Pm (0.2051, 0.0000, 0.7011) [4 per cell]
Pm (0.2477, 0.5000, 0.7459) [4 per cell]
Dy (0.0000, 0.5000, 0.0000) [2 per cell]
Dy (0.0000, 0.5000, 0.5000) [2 per cell]
Dy (0.2500, 0.2500, 0.5000) [4 per cell]

## Properties
- DOS(E_F): 1.7165 states/eV per atom
- Formation energy from the elements: 4.90 eV per formula unit
- Calculated total energy: -4.4200 eV/atom
- Total magnetic moment: 0.000 Bohr magnetons per cell

Here is crystalline LaPm15Dy4 at its relaxed geometry from Alexandria. Energies are from PBE.

abc: 5.1441 5.1441 25.6935
angles: 90.00 90.00 90.00
Space group P4/mmm (No. 123)
Unique sites:
La (0.0000, 0.0000, 0.0000) [1 per cell]
Pm (0.0000, 0.5000, 0.1023) [4 per cell]
Pm (0.0000, 0.5000, 0.3011) [4 per cell]
Pm (0.0000, 0.5000, 0.5000) [2 per cell]
Pm (0.5000, 0.5000, 0.0000) [1 per cell]
Pm (0.5000, 0.5000, 0.2025) [2 per cell]
Pm (0.5000, 0.5000, 0.4006) [2 per cell]
Dy (0.0000, 0.0000, 0.2015) [2 per cell]
Dy (0.0000, 0.0000, 0.4006) [2 per cell]

## Properties
- DOS(E_F): 1.4435 states/eV per atom
- Formation energy from the elements: 0.33 eV per formula unit
- Calculated total energy: -4.7134 eV/atom
- Total magnetic moment: 0.000 Bohr magnetons per cell

Here is crystalline LaPm2Dy at its relaxed geometry from Alexandria. Energies are from PBE.

abc: 6.3243 3.6481 12.1061
angles: 90.00 100.05 90.00
Space group Cm (No. 8)
Unique sites:
La (0.0000, 0.0000, 0.0000) [2 per cell]
Pm (0.2465, 0.0000, 0.7420) [2 per cell]
Pm (0.4178, 0.0000, 0.2577) [2 per cell]
Dy (0.3333, 0.5000, 0.5002) [2 per cell]

## Properties
- DOS(E_F): 1.4711 states/eV per atom
- Formation energy from the elements: 0.08 eV per formula unit
- Calculated total energy: -4.7378 eV/atom
- Total magnetic moment: 0.001 Bohr magnetons per cell

Here is crystalline La3PmDy7 at its relaxed geometry from Alexandria. Energies are from PBE.

abc: 11.7250 10.1341 6.4283
angles: 90.00 94.47 90.00
Space group C2/m (No. 12)
Unique sites:
La (0.0000, 0.0000, 0.0000) [2 per cell]
La (0.0000, 0.1792, 0.5000) [4 per cell]
Pm (0.0000, 0.5000, 0.0000) [2 per cell]
Dy (0.0000, 0.5000, 0.5000) [2 per cell]
Dy (0.2392, 0.0000, 0.7080) [4 per cell]
Dy (0.2414, 0.3305, 0.7626) [8 per cell]

## Properties
- DOS(E_F): 1.5230 states/eV per atom
- Formation energy from the elements: 2.38 eV per formula unit
- Calculated total energy: -4.4883 eV/atom
- Total magnetic moment: 0.000 Bohr magnetons per cell

Here is crystalline La2Pm6Dy3 at its relaxed geometry from Alexandria. Energies are from PBE.

abc: 5.6878 5.6878 24.9262
angles: 90.00 90.00 90.00
Space group I4/mmm (No. 139)
Unique sites:
La (0.0000, 0.0000, 0.0586) [4 per cell]
Pm (0.0000, 0.0000, 0.1988) [4 per cell]
Pm (0.0000, 0.5000, 0.0966) [8 per cell]
Dy (0.0000, 0.0000, 0.3365) [4 per cell]
Dy (0.0000, 0.0000, 0.5000) [2 per cell]

## Properties
- DOS(E_F): 1.2859 states/eV per atom
- Formation energy from the elements: 4.91 eV per formula unit
- Calculated total energy: -4.2962 eV/atom
- Total magnetic moment: 0.000 Bohr magnetons per cell

Here is crystalline La5PmDy4 at its relaxed geometry from Alexandria. Energies are from PBE.

abc: 3.7022 3.7022 25.2489
angles: 90.00 90.00 90.00
Space group P4/mmm (No. 123)
Unique sites:
La (0.0000, 0.0000, 0.0000) [1 per cell]
La (0.0000, 0.0000, 0.1984) [2 per cell]
La (0.0000, 0.0000, 0.3975) [2 per cell]
Pm (0.5000, 0.5000, 0.5000) [1 per cell]
Dy (0.5000, 0.5000, 0.0992) [2 per cell]
Dy (0.5000, 0.5000, 0.2975) [2 per cell]

## Properties
- DOS(E_F): 1.6548 states/eV per atom
- Formation energy from the elements: 0.22 eV per formula unit
- Calculated total energy: -4.7571 eV/atom
- Total magnetic moment: 0.000 Bohr magnetons per cell

Here is crystalline La2PmDy12 at its relaxed geometry from Alexandria. Energies are from PBE.

abc: 7.1027 11.3714 24.9447
angles: 90.00 90.05 90.00
Space group C2/m (No. 12)
Unique sites:
La (0.2499, 0.0000, 0.2311) [4 per cell]
La (0.2501, 0.0000, 0.7691) [4 per cell]
Pm (0.2500, 0.0000, 0.5000) [4 per cell]
Dy (0.0004, 0.0000, 0.0839) [4 per cell]
Dy (0.0000, 0.0000, 0.3739) [4 per cell]
Dy (0.9998, 0.2500, 0.1719) [8 per cell]
Dy (0.0000, 0.2500, 0.3011) [8 per cell]
Dy (0.0000, 0.5000, 0.3739) [4 per cell]
Dy (0.0009, 0.5000, 0.9161) [4 per cell]
Dy (0.2495, 0.2507, 0.0620) [8 per cell]
Dy (0.2503, 0.2500, 0.4213) [8 per cell]

## Properties
- DOS(E_F): 1.6469 states/eV per atom
- Formation energy from the elements: 2.39 eV per formula unit
- Calculated total energy: -4.4961 eV/atom
- Total magnetic moment: 0.001 Bohr magnetons per cell

Copy entry 11 word for word.
Here is crystalline La5PmDy4 at its relaxed geometry from Alexandria. Energies are from PBE.

abc: 3.7022 3.7022 25.2489
angles: 90.00 90.00 90.00
Space group P4/mmm (No. 123)
Unique sites:
La (0.0000, 0.0000, 0.0000) [1 per cell]
La (0.0000, 0.0000, 0.1984) [2 per cell]
La (0.0000, 0.0000, 0.3975) [2 per cell]
Pm (0.5000, 0.5000, 0.5000) [1 per cell]
Dy (0.5000, 0.5000, 0.0992) [2 per cell]
Dy (0.5000, 0.5000, 0.2975) [2 per cell]

## Properties
- DOS(E_F): 1.6548 states/eV per atom
- Formation energy from the elements: 0.22 eV per formula unit
- Calculated total energy: -4.7571 eV/atom
- Total magnetic moment: 0.000 Bohr magnetons per cell

Among the records above, which one has the highest DOS(E_F)? La3Pm8Dy4

Which of these has the highest DOS(E_F)? La3Pm8Dy4